1.
# LiInAgI3

An optimized crystal structure of LiInAgI3 (PBE-GGA, Alexandria via LeMat-Bulk).

**Calculated density**: 4.7 g cm⁻³
**Uncorrected energy**: -31.51 eV/cell
**Total magnetization**: 0.00 μB/f.u.

extended XYZ file:
```
12
Lattice="4.422 0.000 0.000 0.000 9.312 0.113 0.000 -2.347 10.392" Properties=species:S:1:pos:R:3 pbc="T T T"
Li 1.105 -0.503 6.304
Li 3.316 7.468 4.201
In 1.105 1.323 2.305
In 3.316 5.642 8.200
Ag 1.105 5.915 1.115
Ag 3.316 1.050 9.391
I 3.316 7.924 1.470
I 1.105 -0.959 9.036
I 1.105 6.231 5.297
I 3.316 0.734 5.208
I 3.316 3.890 1.880
I 1.105 3.075 8.626
```


2.
# Pr8Nd3Tm

An optimized crystal structure of Pr8Nd3Tm (PBE-GGA, Alexandria via LeMat-Bulk).

**Calculated density**: 6.2 g cm⁻³
**Total magnetization**: 0.00 μB/f.u.
**Formation enthalpy at 0 K**: 534 meV/atom

extended XYZ file:
```
12
Lattice="7.765 -0.506 -3.693 -4.541 7.219 -1.206 -0.319 0.506 8.593" Properties=species:S:1:pos:R:3 pbc="T T T"
Pr 2.672 1.596 -0.059
Pr 0.310 5.501 3.635
Pr -3.538 5.623 1.271
Pr -1.399 2.225 6.233
Pr 0.122 2.749 1.830
Pr 5.234 0.574 -1.863
Pr 4.634 4.470 3.081
Pr -4.181 6.646 4.338
Nd 0.397 5.288 -0.603
Nd 2.508 1.931 4.296
Nd -2.430 3.863 3.693
Tm 0.000 0.000 0.000
```


3.
# YGeAu2

An optimized crystal structure of YGeAu2 (PBE-GGA, Alexandria via LeMat-Bulk).

**Calculated density**: 11.2 g cm⁻³
**Total magnetization**: 0.00 μB/f.u.
**Formation enthalpy at 0 K**: -527 meV/atom

extended XYZ file:
```
4
Lattice="4.453 0.000 0.000 0.000 4.293 0.000 0.000 0.000 4.293" Properties=species:S:1:pos:R:3 pbc="T T T"
Y 2.226 0.000 0.000
Ge 2.226 2.147 2.147
Au 0.000 0.000 2.147
Au 0.000 2.147 0.000
```